[1]
# NaBiPd | Alexandria via LeMat-Bulk | PBE | relaxed
# N(E_F) ... 9.27 states/eV/cell
# Electronic total energy ... -3.699 eV per atom
# Formation enthalpy at 0 K ... -0.234 eV per atom
data_NaBiPd
_space_group_name_H-M_alt 'F -4 3 m'
_space_group_IT_number 216
_space_group_name_Hall 'F -4 2 3'
_cell_length_a 6.6472
_cell_length_b 6.6472
_cell_length_c 6.6472
_cell_angle_alpha 90.00
_cell_angle_beta 90.00
_cell_angle_gamma 90.00
loop_
_atom_site_label
_atom_site_fract_x
_atom_site_fract_y
_atom_site_fract_z
_atom_site_occupancy
Na1 0.0000 0.0000 0.0000 1
Bi1 0.0000 0.0000 0.5000 1
Pd1 0.2500 0.2500 0.7500 1

[2]
# NaBi2Pd | Alexandria via LeMat-Bulk | PBE | relaxed
# N(E_F) ... 1.11 states/eV/cell
# Electronic total energy ... -3.753 eV per atom
# Formation enthalpy at 0 K ... -0.184 eV per atom
# Offset from the most stable computed form ... 129.0 meV/atom
data_NaBi2Pd
_space_group_name_H-M_alt 'P 4/m m m'
_space_group_IT_number 123
_space_group_name_Hall '-P 4 2'
_cell_length_a 4.8261
_cell_length_b 4.8261
_cell_length_c 4.1322
_cell_angle_alpha 90.00
_cell_angle_beta 90.00
_cell_angle_gamma 90.00
loop_
_atom_site_label
_atom_site_fract_x
_atom_site_fract_y
_atom_site_fract_z
_atom_site_occupancy
Na1 0.0000 0.0000 0.0000 1
Bi1 0.0000 0.5000 0.5000 1
Pd1 0.5000 0.5000 0.0000 1

[3]
# NaBiPd2 | Alexandria via LeMat-Bulk | PBE | relaxed
# N(E_F) ... 6.93 states/eV/cell
# Electronic total energy ... -3.717 eV per atom
# Formation enthalpy at 0 K ... 0.180 eV per atom
data_NaBiPd2
_space_group_name_H-M_alt 'I m m m'
_space_group_IT_number 71
_space_group_name_Hall '-I 2 2'
_cell_length_a 3.0513
_cell_length_b 5.1653
_cell_length_c 11.1240
_cell_angle_alpha 90.00
_cell_angle_beta 90.00
_cell_angle_gamma 90.00
loop_
_atom_site_label
_atom_site_fract_x
_atom_site_fract_y
_atom_site_fract_z
_atom_site_occupancy
Na1 0.0000 0.0000 0.0000 1
Bi1 0.0000 0.0000 0.5000 1
Pd1 0.0000 0.0000 0.2582 1

[4]
# NaBiPd2 | Alexandria via LeMat-Bulk | PBE | relaxed
# N(E_F) ... 1.49 states/eV/cell
# Electronic total energy ... -4.076 eV per atom
# Formation enthalpy at 0 K ... -0.180 eV per atom
data_NaBiPd2
_space_group_name_H-M_alt 'P 4/m m m'
_space_group_IT_number 123
_space_group_name_Hall '-P 4 2'
_cell_length_a 3.5524
_cell_length_b 3.5524
_cell_length_c 6.4597
_cell_angle_alpha 90.00
_cell_angle_beta 90.00
_cell_angle_gamma 90.00
loop_
_atom_site_label
_atom_site_fract_x
_atom_site_fract_y
_atom_site_fract_z
_atom_site_occupancy
Na1 0.0000 0.0000 0.0000 1
Bi1 0.0000 0.0000 0.5000 1
Pd1 0.5000 0.5000 0.2653 1

[5]
# NaBiPd2 | Alexandria via LeMat-Bulk | PBE | relaxed
# N(E_F) ... 4.86 states/eV/cell
# Electronic total energy ... -3.909 eV per atom
# Formation enthalpy at 0 K ... -0.013 eV per atom
data_NaBiPd2
_space_group_name_H-M_alt 'I -4 2 d'
_space_group_IT_number 122
_space_group_name_Hall 'I -4 2bw'
_cell_length_a 7.6161
_cell_length_b 7.6161
_cell_length_c 6.0143
_cell_angle_alpha 90.00
_cell_angle_beta 90.00
_cell_angle_gamma 90.00
loop_
_atom_site_label
_atom_site_fract_x
_atom_site_fract_y
_atom_site_fract_z
_atom_site_occupancy
Na1 0.0000 0.0000 0.0000 1
Bi1 0.0000 0.0000 0.5000 1
Pd1 0.2358 0.7500 0.6250 1

[6]
# NaBi2Pd9 | Alexandria via LeMat-Bulk | PBE | relaxed
# N(E_F) ... 6.56 states/eV/cell
# Electronic total energy ... -4.844 eV per atom
# Formation enthalpy at 0 K ... -0.193 eV per atom
# Offset from the most stable computed form ... 0.0 meV/atom
data_NaBi2Pd9
_space_group_name_H-M_alt 'P 4/m m m'
_space_group_IT_number 123
_space_group_name_Hall '-P 4 2'
_cell_length_a 4.1286
_cell_length_b 4.1286
_cell_length_c 12.1160
_cell_angle_alpha 90.00
_cell_angle_beta 90.00
_cell_angle_gamma 90.00
loop_
_atom_site_label
_atom_site_fract_x
_atom_site_fract_y
_atom_site_fract_z
_atom_site_occupancy
Na1 0.0000 0.0000 0.0000 1
Bi1 0.0000 0.0000 0.3232 1
Pd1 0.0000 0.5000 0.1636 1
Pd2 0.0000 0.5000 0.5000 1
Pd3 0.5000 0.5000 0.0000 1
Pd4 0.5000 0.5000 0.3358 1

[7]
# Na3Bi3Pd2 | Alexandria via LeMat-Bulk | PBE | relaxed
# N(E_F) ... 5.14 states/eV/cell
# Electronic total energy ... -3.510 eV per atom
# Formation enthalpy at 0 K ... -0.262 eV per atom
# Offset from the most stable computed form ... 41.9 meV/atom
data_Na3Bi3Pd2
_space_group_name_H-M_alt 'P -6 2 m'
_space_group_IT_number 189
_space_group_name_Hall 'P -6 -2'
_cell_length_a 8.1030
_cell_length_b 8.1030
_cell_length_c 3.4574
_cell_angle_alpha 90.00
_cell_angle_beta 90.00
_cell_angle_gamma 120.00
loop_
_atom_site_label
_atom_site_fract_x
_atom_site_fract_y
_atom_site_fract_z
_atom_site_occupancy
Na1 0.0000 0.2453 0.0000 1
Bi1 0.0000 0.5929 0.5000 1
Pd1 0.3333 0.6667 0.0000 1

[8]
# NaBiPd4 | Alexandria via LeMat-Bulk | PBE | relaxed
# N(E_F) ... 5.14 states/eV/cell
# Electronic total energy ... -4.486 eV per atom
# Formation enthalpy at 0 K ... -0.157 eV per atom
# Offset from the most stable computed form ... 27.0 meV/atom
data_NaBiPd4
_space_group_name_H-M_alt 'C 1 2/m 1'
_space_group_IT_number 12
_space_group_name_Hall '-C 2y'
_cell_length_a 9.3270
_cell_length_b 4.0740
_cell_length_c 5.9052
_cell_angle_alpha 90.00
_cell_angle_beta 109.07
_cell_angle_gamma 90.00
loop_
_atom_site_label
_atom_site_fract_x
_atom_site_fract_y
_atom_site_fract_z
_atom_site_occupancy
Na1 0.0000 0.0000 0.0000 1
Bi1 0.0000 0.0000 0.5000 1
Pd1 0.1668 0.5000 0.3316 1
Pd2 0.1706 0.5000 0.8343 1

Number 1: V 293.71 Å³ per cell. Number 2: V 96.24 Å³ per cell. Number 3: V 175.33 Å³ per cell. Number 4: V 81.52 Å³ per cell. Number 5: V 348.86 Å³ per cell. Number 6: V 206.52 Å³ per cell. Number 7: V 196.59 Å³ per cell. Number 8: V 212.07 Å³ per cell.